[1]
# PBE Sr2In3Ag4Sn, optimized geometry
# VASP energy (eV per atom): -2.9821
# Total moment (μB/atom): 0.000
# Formation energy (eV/atom): -0.283
data_Sr2In3Ag4Sn
_symmetry_space_group_name_H-M 'P -4 m 2'
_symmetry_Int_Tables_number 115
_symmetry_space_group_name_Hall 'P -4 -2'
_cell_length_a 4.700
_cell_length_b 4.700
_cell_length_c 11.849
_cell_angle_alpha 90.00
_cell_angle_beta 90.00
_cell_angle_gamma 90.00
loop_
_atom_site_label
_atom_site_type_symbol
_atom_site_fract_x
_atom_site_fract_y
_atom_site_fract_z
Sr1 Sr 0.000 0.500 0.247
In1 In 0.000 0.500 0.871
In2 In 0.500 0.500 0.500
Ag1 Ag 0.000 0.000 0.000
Ag2 Ag 0.000 0.500 0.640
Ag3 Ag 0.500 0.500 0.000
Sn1 Sn 0.000 0.000 0.500

[2]
# PBE SrInAgSn2, optimized geometry
# VASP energy (eV per atom): -3.3401
# Total moment (μB/atom): 0.000
# Formation energy (eV/atom): -0.285
data_SrInAgSn2
_symmetry_space_group_name_H-M 'I -4 m 2'
_symmetry_Int_Tables_number 119
_symmetry_space_group_name_Hall 'I -4 -2'
_cell_length_a 4.672
_cell_length_b 4.672
_cell_length_c 13.065
_cell_angle_alpha 90.00
_cell_angle_beta 90.00
_cell_angle_gamma 90.00
loop_
_atom_site_label
_atom_site_type_symbol
_atom_site_fract_x
_atom_site_fract_y
_atom_site_fract_z
Sr1 Sr 0.000 0.000 0.000
In1 In 0.000 0.500 0.250
Ag1 Ag 0.000 0.500 0.750
Sn1 Sn 0.000 0.000 0.388

[3]
# PBE Sr2In3AgSn4, optimized geometry
# VASP energy (eV per atom): -3.2984
# Total moment (μB/atom): 0.000
# Formation energy (eV/atom): -0.254
data_Sr2In3AgSn4
_symmetry_space_group_name_H-M 'P -4 m 2'
_symmetry_Int_Tables_number 115
_symmetry_space_group_name_Hall 'P -4 -2'
_cell_length_a 5.082
_cell_length_b 5.082
_cell_length_c 11.675
_cell_angle_alpha 90.00
_cell_angle_beta 90.00
_cell_angle_gamma 90.00
loop_
_atom_site_label
_atom_site_type_symbol
_atom_site_fract_x
_atom_site_fract_y
_atom_site_fract_z
Sr1 Sr 0.000 0.500 0.233
In1 In 0.000 0.000 0.000
In2 In 0.000 0.500 0.634
Ag1 Ag 0.500 0.500 0.000
Sn1 Sn 0.000 0.000 0.500
Sn2 Sn 0.000 0.500 0.875
Sn3 Sn 0.500 0.500 0.500

[4]
# PBE Sr2InAg6Sn, optimized geometry
# VASP energy (eV per atom): -2.7104
# Total moment (μB/atom): 0.000
# Formation energy (eV/atom): 0.011
data_Sr2InAg6Sn
_symmetry_space_group_name_H-M 'F m -3 m'
_symmetry_Int_Tables_number 225
_symmetry_space_group_name_Hall '-F 4 2 3'
_cell_length_a 10.512
_cell_length_b 10.512
_cell_length_c 10.512
_cell_angle_alpha 90.00
_cell_angle_beta 90.00
_cell_angle_gamma 90.00
loop_
_atom_site_label
_atom_site_type_symbol
_atom_site_fract_x
_atom_site_fract_y
_atom_site_fract_z
Sr1 Sr 0.250 0.250 0.250
In1 In 0.000 0.000 0.000
Ag1 Ag 0.000 0.000 0.249
Sn1 Sn 0.000 0.000 0.500